Record 1
This record from the Alexandria database describes CaPm6Nd3Sm2 after structural relaxation. The functional is GGA-PBE.

## Properties
Calculated volume = 34.95 A^3/atom
ΔE_f = 0.03 eV/atom

Lattice parameters (Å, degrees): 6.3631 11.0307 12.1376 90.00 100.07 90.00
Space group C2/m (No. 12)
Symmetry-distinct sites (fractional):
Ca1 0.0000 0.0000 0.0000 (multiplicity 2)
Pm1 0.2454 0.5000 0.2515 (multiplicity 4)
Pm2 0.2459 0.3303 0.7491 (multiplicity 8)
Nd1 0.0000 0.1660 0.5000 (multiplicity 4)
Nd2 0.0000 0.5000 0.5000 (multiplicity 2)
Sm1 0.0000 0.3331 0.0000 (multiplicity 4)

---

Record 2
This record from the Alexandria database describes La2Zn2Au after structural relaxation. The functional is GGA-PBE.

## Properties
Calculated volume = 26.79 A^3/atom
ΔE_f = -0.21 eV/atom

Lattice parameters (Å, degrees): 6.0201 6.0201 7.3933 90.00 90.00 90.00
Space group I4/mmm (No. 139)
Symmetry-distinct sites (fractional):
La1 0.0000 0.5000 0.2500 (multiplicity 4)
Zn1 0.0000 0.0000 0.1542 (multiplicity 4)
Au1 0.0000 0.0000 0.5000 (multiplicity 2)

---

Record 3
This record from the Alexandria database describes TmMnHgPd after structural relaxation. The functional is GGA-PBE.

## Properties
Calculated volume = 19.73 A^3/atom
ΔE_f = -0.30 eV/atom

Lattice parameters (Å, degrees): 6.8095 6.8095 6.8095 90.00 90.00 90.00
Space group F-43m (No. 216)
Symmetry-distinct sites (fractional):
Tm1 0.0000 0.0000 0.0000 (multiplicity 4)
Mn1 0.0000 0.0000 0.5000 (multiplicity 4)
Hg1 0.2500 0.2500 0.2500 (multiplicity 4)
Pd1 0.2500 0.2500 0.7500 (multiplicity 4)

---

Record 4
This record from the Alexandria database describes Ce2TcH6Ru after structural relaxation. The functional is GGA-PBE.

## Properties
Electronic total energy = -5.52 eV per atom
Calculated volume = 10.31 A^3/atom

Lattice parameters (Å, degrees): 5.2792 5.2792 7.3971 90.00 90.00 90.00
Space group I4/mmm (No. 139)
Symmetry-distinct sites (fractional):
Ce1 0.0000 0.5000 0.2500 (multiplicity 4)
Tc1 0.0000 0.0000 0.0000 (multiplicity 2)
H1 0.0000 0.0000 0.2535 (multiplicity 4)
H2 0.2468 0.2468 0.5000 (multiplicity 8)
Ru1 0.0000 0.0000 0.5000 (multiplicity 2)

---

Record 5
This record from the Alexandria database describes Ce3Al after structural relaxation. The functional is GGA-PBE.

## Properties
Calculated volume = 25.07 A^3/atom
ΔE_f = -0.03 eV/atom

Lattice parameters (Å, degrees): 7.3752 7.3752 7.3752 90.00 90.00 90.00
Space group Fm-3m (No. 225)
Symmetry-distinct sites (fractional):
Ce1 0.0000 0.0000 0.0000 (multiplicity 4)
Ce2 0.2500 0.2500 0.2500 (multiplicity 8)
Al1 0.0000 0.0000 0.5000 (multiplicity 4)

---

Record 6
This record from the Alexandria database describes Eu2ErIn after structural relaxation. The functional is GGA-PBE.

## Properties
Calculated volume = 31.16 A^3/atom
ΔE_f = -0.19 eV/atom

Lattice parameters (Å, degrees): 4.9058 4.9058 5.1796 90.00 90.00 90.00
Space group P4/mmm (No. 123)
Symmetry-distinct sites (fractional):
Eu1 0.0000 0.5000 0.0000 (multiplicity 2)
Er1 0.0000 0.0000 0.5000 (multiplicity 1)
In1 0.5000 0.5000 0.5000 (multiplicity 1)

---

Record 7
This record from the Alexandria database describes LiYZr after structural relaxation. The functional is GGA-PBE.

## Properties
Calculated volume = 25.34 A^3/atom
ΔE_f = 0.11 eV/atom

Lattice parameters (Å, degrees): 8.8124 5.0899 6.7807 90.00 90.33 90.00
Space group C2/m (No. 12)
Symmetry-distinct sites (fractional):
Li1 0.1667 0.0000 0.9998 (multiplicity 4)
Y1 0.0010 0.5000 0.7357 (multiplicity 4)
Zr1 0.1667 0.0000 0.4999 (multiplicity 4)

---

Record 8
This record from the Alexandria database describes CrRu3 after structural relaxation. The functional is GGA-PBE.

## Properties
Calculated volume = 13.55 A^3/atom
ΔE_f = 0.11 eV/atom

Lattice parameters (Å, degrees): 5.3657 7.5203 2.6865 90.00 90.00 90.00
Space group Cmmm (No. 65)
Symmetry-distinct sites (fractional):
Cr1 0.0000 0.0000 0.0000 (multiplicity 2)
Ru1 0.0000 0.5000 0.0000 (multiplicity 2)
Ru2 0.2500 0.2500 0.5000 (multiplicity 4)

---

Record 9
This record from the Alexandria database describes Ta2AlHg after structural relaxation. The functional is GGA-PBE.

## Properties
Calculated volume = 18.17 A^3/atom
ΔE_f = 0.31 eV/atom

Lattice parameters (Å, degrees): 4.9991 4.9991 2.9089 90.00 90.00 90.00
Space group P4/mmm (No. 123)
Symmetry-distinct sites (fractional):
Ta1 0.0000 0.5000 0.0000 (multiplicity 2)
Al1 0.0000 0.0000 0.5000 (multiplicity 1)
Hg1 0.5000 0.5000 0.5000 (multiplicity 1)

---

Record 10
This record from the Alexandria database describes GdDyTe2 after structural relaxation. The functional is GGA-PBE.

## Properties
Calculated volume = 38.62 A^3/atom
Formation energy without anion corrections = -0.92 eV/atom

Lattice parameters (Å, degrees): 4.2829 4.2829 29.1713 90.00 90.00 120.00
Space group R-3m (No. 166, hexagonal axes)
Symmetry-distinct sites (fractional):
Gd1 0.0000 0.0000 0.0000 (multiplicity 3)
Dy1 0.0000 0.0000 0.5000 (multiplicity 3)
Te1 0.0000 0.0000 0.1050 (multiplicity 6)

---

Record 11
This record from the Alexandria database describes Pu3Ni2Sb4 after structural relaxation. The functional is GGA-PBE.

## Properties
Calculated volume = 23.37 A^3/atom
Formation energy without anion corrections = -0.48 eV/atom

Lattice parameters (Å, degrees): 11.2885 4.4546 8.7031 90.00 106.04 90.00
Space group C2/m (No. 12)
Symmetry-distinct sites (fractional):
Pu1 0.0000 0.0000 0.0000 (multiplicity 2)
Pu2 0.1223 0.5000 0.6955 (multiplicity 4)
Ni1 0.2019 0.5000 0.4075 (multiplicity 4)
Sb1 0.0891 0.0000 0.3853 (multiplicity 4)
Sb2 0.2033 0.5000 0.1059 (multiplicity 4)

---

Record 12
This record from the Alexandria database describes Zr2MoCl after structural relaxation. The functional is GGA-PBE.

## Properties
Calculated volume = 23.07 A^3/atom
Formation energy without anion corrections = 0.10 eV/atom

Lattice parameters (Å, degrees): 2.9736 2.9736 10.4348 90.00 90.00 90.00
Space group P4mm (No. 99)
Symmetry-distinct sites (fractional):
Zr1 0.0000 0.0000 0.0000 (multiplicity 1)
Zr2 0.5000 0.5000 0.2539 (multiplicity 1)
Mo1 0.5000 0.5000 0.7948 (multiplicity 1)
Cl1 0.0000 0.0000 0.4166 (multiplicity 1)